# Fe2CuTc

An optimized crystal structure of Fe2CuTc (PBEsol, Alexandria via LeMat-Bulk).

Results
Mass density ... 9.65 Mg/m³
Space group ... No. 123
Formation energy from the elements ... 22.5 kJ per mole of atoms

abc: 2.983 2.983 5.285
angles: 90.00 90.00 90.00
Site moments in Bohr magnetons follow the coordinates.
Element x y z (fractional)
Cu  0.500  0.500  0.500  0.08
Fe  0.000  0.000  0.734  2.04
Fe  0.000  0.000  0.266  2.04
Tc  0.500  0.500  0.000  -0.06